Density functional theory data (PBE-GGA) for a geometry-optimized NaMgBi2O8 structure.

The structure in CIF format:
```
data_NaMgBi2O8
_chemical_formula_sum 'Na1 Mg1 Bi2 O8'
_cell_length_a 5.7462
_cell_length_b 5.7462
_cell_length_c 6.2602
_cell_angle_alpha 90.00
_cell_angle_beta 90.00
_cell_angle_gamma 120.00
_space_group_name_H-M_alt 'P -3'
_space_group_IT_number 147
loop_
_space_group_symop_operation_xyz
'x,y,z'
'-x,-y,-z'
'-y,x-y,z'
'y,-x+y,-z'
'-x+y,-x,z'
'x-y,x,-z'
loop_
_atom_site_label
_atom_site_type_symbol
_atom_site_fract_x
_atom_site_fract_y
_atom_site_fract_z
_atom_site_occupancy
Na1 Na 0.0000 0.0000 0.0000 1
Mg1 Mg 0.0000 0.0000 0.5000 1
Bi1 Bi 0.3333 0.6667 0.4450 1
O1 O 0.0383 0.3424 0.6554 1
O2 O 0.3333 0.6667 0.0977 1
```

**Formation energy without anion corrections**: -69.53 kJ per mole of atoms

***

Density functional theory data (PBE-GGA) for a geometry-optimized Hg2IrOs structure.

The structure in CIF format:
```
data_Hg2IrOs
_chemical_formula_sum 'Hg2 Ir1 Os1'
_cell_length_a 2.884
_cell_length_b 2.884
_cell_length_c 8.698
_cell_angle_alpha 90.00
_cell_angle_beta 90.00
_cell_angle_gamma 90.00
_space_group_name_H-M_alt 'P 4 m m'
_space_group_IT_number 99
loop_
_space_group_symop_operation_xyz
'x,y,z'
'-y,x,z'
'-x,-y,z'
'y,-x,z'
'-x,y,z'
'y,x,z'
'x,-y,z'
'-y,-x,z'
loop_
_atom_site_label
_atom_site_type_symbol
_atom_site_fract_x
_atom_site_fract_y
_atom_site_fract_z
_atom_site_occupancy
Hg1 Hg 0.000 0.000 0.000 1
Hg2 Hg 0.500 0.500 0.304 1
Ir1 Ir 0.000 0.000 0.559 1
Os1 Os 0.500 0.500 0.747 1
```

**Distance to the lowest polymorph of the same formula**: 0.0 kJ per mole of atoms
**ΔE_f**: 1.7 eV/f.u.

***

Density functional theory data (PBE-GGA) for a geometry-optimized Ce3Pm2ScTe6 structure.

The structure in CIF format:
```
data_Ce3Pm2ScTe6
_chemical_formula_sum 'Ce6 Pm4 Sc2 Te12'
_cell_length_a 19.345
_cell_length_b 4.404
_cell_length_c 8.928
_cell_angle_alpha 90.00
_cell_angle_beta 103.68
_cell_angle_gamma 90.00
_space_group_name_H-M_alt 'C 1 2/m 1'
_space_group_IT_number 12
loop_
_space_group_symop_operation_xyz
'x,y,z'
'-x,-y,-z'
'-x,y,-z'
'x,-y,z'
'x+1/2,y+1/2,z'
'-x+1/2,-y+1/2,-z'
'-x+1/2,y+1/2,-z'
'x+1/2,-y+1/2,z'
loop_
_atom_site_label
_atom_site_type_symbol
_atom_site_fract_x
_atom_site_fract_y
_atom_site_fract_z
_atom_site_occupancy
Ce1 Ce 0.000 0.000 0.000 1
Ce2 Ce 0.172 0.500 0.337 1
Pm1 Pm 0.167 0.500 0.834 1
Sc1 Sc 0.000 0.000 0.500 1
Te1 Te 0.002 0.500 0.268 1
Te2 Te 0.158 0.000 0.581 1
Te3 Te 0.167 0.000 0.083 1
```

**Formation energy without anion corrections**: -128.62 kJ per mole of atoms

***

Density functional theory data (PBE-GGA) for a geometry-optimized YAgC2 structure.

The structure in CIF format:
```
data_YAgC2
_chemical_formula_sum 'Y4 Ag4 C8'
_cell_length_a 6.022
_cell_length_b 6.022
_cell_length_c 6.022
_cell_angle_alpha 90.00
_cell_angle_beta 90.00
_cell_angle_gamma 90.00
_space_group_name_H-M_alt 'F m -3 m'
_space_group_IT_number 225
_space_group_name_Hall '-F 4 2 3'
loop_
_atom_site_label
_atom_site_type_symbol
_atom_site_fract_x
_atom_site_fract_y
_atom_site_fract_z
_atom_site_occupancy
Y1 Y 0.000 0.000 0.000 1
Ag1 Ag 0.000 0.000 0.500 1
C1 C 0.250 0.250 0.250 1
```

**Distance to the lowest polymorph of the same formula**: 0.0 kJ per mole of atoms
**ΔE_f**: 5.0 eV/f.u.

***

Density functional theory data (PBE-GGA) for a geometry-optimized Sc2NiH4 structure.

The structure in CIF format:
```
data_Sc2NiH4
_chemical_formula_sum 'Sc4 Ni2 H8'
_cell_length_a 5.483
_cell_length_b 4.211
_cell_length_c 6.355
_cell_angle_alpha 90.00
_cell_angle_beta 112.08
_cell_angle_gamma 90.00
_space_group_name_H-M_alt 'P 1 21/m 1'
_space_group_IT_number 11
loop_
_space_group_symop_operation_xyz
'x,y,z'
'-x,-y,-z'
'-x,y+1/2,-z'
'x,-y+1/2,z'
loop_
_atom_site_label
_atom_site_type_symbol
_atom_site_fract_x
_atom_site_fract_y
_atom_site_fract_z
_atom_site_occupancy
Sc1 Sc 0.215 0.250 0.440 1
Sc2 Sc 0.270 0.750 0.060 1
Ni1 Ni 0.151 0.250 0.805 1
H1 H 0.178 0.250 0.079 1
H2 H 0.336 0.515 0.772 1
H3 H 0.381 0.750 0.409 1
```

***

Density functional theory data (PBE-GGA) for a geometry-optimized DyTmTe6 structure.

The structure in CIF format:
```
data_DyTmTe6
_chemical_formula_sum 'Dy2 Tm2 Te12'
_cell_length_a 4.333
_cell_length_b 4.331
_cell_length_c 26.574
_cell_angle_alpha 90.00
_cell_angle_beta 90.00
_cell_angle_gamma 90.00
_space_group_name_H-M_alt 'A m m 2'
_space_group_IT_number 38
loop_
_space_group_symop_operation_xyz
'x,y,z'
'-x,-y,z'
'-x,y,z'
'x,-y,z'
'x,y+1/2,z+1/2'
'-x,-y+1/2,z+1/2'
'-x,y+1/2,z+1/2'
'x,-y+1/2,z+1/2'
loop_
_atom_site_label
_atom_site_type_symbol
_atom_site_fract_x
_atom_site_fract_y
_atom_site_fract_z
_atom_site_occupancy
Dy1 Dy 0.000 0.000 0.000 1
Tm1 Tm 0.500 0.000 0.654 1
Te1 Te 0.000 0.000 0.120 1
Te2 Te 0.000 0.000 0.406 1
Te3 Te 0.000 0.000 0.748 1
Te4 Te 0.500 0.000 0.248 1
Te5 Te 0.500 0.000 0.535 1
Te6 Te 0.500 0.000 0.906 1
```

**Formation energy without anion corrections**: -85.30 kJ per mole of atoms

***

Density functional theory data (PBE-GGA) for a geometry-optimized Ac2PmPrSe6 structure.

The structure in CIF format:
```
data_Ac2PmPrSe6
_chemical_formula_sum 'Ac6 Pm3 Pr3 Se18'
_cell_length_a 7.7064
_cell_length_b 7.7064
_cell_length_c 20.0509
_cell_angle_alpha 90.00
_cell_angle_beta 90.00
_cell_angle_gamma 120.00
_space_group_name_H-M_alt 'R 3'
_space_group_IT_number 146
_space_group_name_Hall 'R 3'
loop_
_atom_site_label
_atom_site_type_symbol
_atom_site_fract_x
_atom_site_fract_y
_atom_site_fract_z
_atom_site_occupancy
Ac1 Ac 0.0000 0.0000 0.0000 1
Ac2 Ac 0.0000 0.0000 0.4993 1
Pm1 Pm 0.0000 0.0000 0.7919 1
Pr1 Pr 0.0000 0.0000 0.2909 1
Se1 Se 0.0241 0.3041 0.8897 1
Se2 Se 0.0237 0.6386 0.0570 1
```

**Formation energy without anion corrections**: -184.51 kJ per mole of atoms

***

Density functional theory data (PBE-GGA) for a geometry-optimized CoReIr structure.

The structure in CIF format:
```
data_CoReIr
_chemical_formula_sum 'Co2 Re2 Ir2'
_cell_length_a 2.693
_cell_length_b 3.744
_cell_length_c 7.963
_cell_angle_alpha 90.00
_cell_angle_beta 90.00
_cell_angle_gamma 90.00
_space_group_name_H-M_alt 'I m m 2'
_space_group_IT_number 44
loop_
_space_group_symop_operation_xyz
'x,y,z'
'-x,-y,z'
'-x,y,z'
'x,-y,z'
'x+1/2,y+1/2,z+1/2'
'-x+1/2,-y+1/2,z+1/2'
'-x+1/2,y+1/2,z+1/2'
'x+1/2,-y+1/2,z+1/2'
loop_
_atom_site_label
_atom_site_type_symbol
_atom_site_fract_x
_atom_site_fract_y
_atom_site_fract_z
_atom_site_occupancy
Co1 Co 0.000 0.000 0.000 1
Re1 Re 0.000 0.000 0.339 1
Ir1 Ir 0.000 0.000 0.668 1
```

**Distance to the lowest polymorph of the same formula**: 0.0 kJ per mole of atoms
**ΔE_f**: -0.3 eV/f.u.

***

Density functional theory data (PBE-GGA) for a geometry-optimized Si3Hg structure.

The structure in CIF format:
```
data_Si3Hg
_chemical_formula_sum 'Si3 Hg1'
_cell_length_a 2.816
_cell_length_b 3.496
_cell_length_c 7.448
_cell_angle_alpha 90.00
_cell_angle_beta 90.00
_cell_angle_gamma 90.00
_space_group_name_H-M_alt 'P m m 2'
_space_group_IT_number 25
loop_
_space_group_symop_operation_xyz
'x,y,z'
'-x,-y,z'
'-x,y,z'
'x,-y,z'
loop_
_atom_site_label
_atom_site_type_symbol
_atom_site_fract_x
_atom_site_fract_y
_atom_site_fract_z
_atom_site_occupancy
Si1 Si 0.000 0.000 0.000 1
Si2 Si 0.000 0.500 0.235 1
Si3 Si 0.500 0.500 0.829 1
Hg1 Hg 0.500 0.000 0.517 1
```

**Distance to the lowest polymorph of the same formula**: 5.7 kJ per mole of atoms
**Formation energy without anion corrections**: 44.58 kJ per mole of atoms

***

Density functional theory data (PBE-GGA) for a geometry-optimized NaSr2LiCa structure.

The structure in CIF format:
```
data_NaSr2LiCa
_chemical_formula_sum 'Na1 Sr2 Li1 Ca1'
_cell_length_a 6.394
_cell_length_b 6.394
_cell_length_c 5.608
_cell_angle_alpha 90.00
_cell_angle_beta 90.00
_cell_angle_gamma 90.00
_space_group_name_H-M_alt 'P 4/m m m'
_space_group_IT_number 123
_space_group_name_Hall '-P 4 2'
loop_
_atom_site_label
_atom_site_type_symbol
_atom_site_fract_x
_atom_site_fract_y
_atom_site_fract_z
_atom_site_occupancy
Na1 Na 0.000 0.000 0.000 1
Sr1 Sr 0.000 0.500 0.500 1
Li1 Li 0.000 0.000 0.500 1
Ca1 Ca 0.500 0.500 0.000 1
```

**Distance to the lowest polymorph of the same formula**: 10.1 kJ per mole of atoms
**ΔE_f**: 1.1 eV/f.u.

***

Number 1: DOS at the Fermi energy 6.4 states/eV/cell, calculated total energy -4.92 eV/atom. Number 2: DOS at the Fermi energy 2.0 states/eV/cell, calculated total energy -4.75 eV/atom. Number 3: DOS at the Fermi energy 47.2 states/eV/cell, calculated total energy -5.71 eV/atom. Number 4: DOS at the Fermi energy 10.5 states/eV/cell, calculated total energy -5.70 eV/atom. Number 5: DOS at the Fermi energy 1.0 states/eV/cell, calculated total energy -5.00 eV/atom. Number 6: DOS at the Fermi energy 5.8 states/eV/cell, calculated total energy -4.37 eV/atom. Number 7: DOS at the Fermi energy 0.0 states/eV/cell, calculated total energy -5.78 eV/atom. Number 8: DOS at the Fermi energy 6.5 states/eV/cell, calculated total energy -9.56 eV/atom. Number 9: DOS at the Fermi energy 1.5 states/eV/cell, calculated total energy -3.68 eV/atom. Number 10: DOS at the Fermi energy 5.1 states/eV/cell, calculated total energy -1.51 eV/atom.